(1)
The following is a GGA+U calculation of a geometry-optimized Ni2BiAsO6 structure, from Alexandria via LeMat-Bulk.

a b c (Å): 5.2683 5.2683 14.4307
angles (deg): 90.00 90.00 120.00
Space group R3 (No. 146, hexagonal axes)
Asymmetric unit:
Ni: 0.0000 0.0000 0.0000
Ni: 0.0000 0.0000 0.4859
Bi: 0.0000 0.0000 0.2779
As: 0.0000 0.0000 0.7977
O: 0.0264 0.3537 0.4024
O: 0.0797 0.7060 0.5518

crystal system	trigonal
raw total energy	-5.47	eV/atom
density	7.1	g/cm³



(2)
The following is a GGA+U calculation of a geometry-optimized NiBiAsO5 structure, from Alexandria via LeMat-Bulk.

a b c (Å): 6.1687 10.2612 8.0972
angles (deg): 90.00 108.86 90.00
Space group C2/c (No. 15)
Asymmetric unit:
Ni: 0.0000 0.2156 0.2500
Bi: 0.0000 0.5000 0.0000
As: 0.0000 0.2012 0.7500
O: 0.0000 0.3981 0.2500
O: 0.1370 0.1104 0.9302
O: 0.1735 0.3133 0.6827

crystal system	monoclinic
raw total energy	-5.55	eV/atom
density	5.8	g/cm³